a) Below is a relaxed structure of RbGa3P, with properties calculated at the PBE level.

Unit cell a=5.808 b=5.808 c=5.808 alpha=90.00 beta=90.00 gamma=90.00
Site moments in Bohr magnetons follow the coordinates.
Fractional coordinates of all 5 atoms:
1 Ga 0.000 0.000 0.500  0.02
2 Ga 0.000 0.500 0.000  0.02
3 Ga 0.500 0.000 0.000  0.04
4 P 0.500 0.500 0.500  -0.12
5 Rb 0.000 0.000 0.000  0.02

## Properties
Total moment (μB/cell): 0.016
Crystal system: cubic
DOS(E_F) (states/eV/atom): 0.71

***

b) Below is a relaxed structure of RbGa3P, with properties calculated at the PBE level.

Unit cell a=5.088 b=5.088 c=5.088 alpha=90.00 beta=90.00 gamma=90.00
Fractional coordinates of all 5 atoms:
1 P 0.000 0.000 0.000
2 Ga 0.000 0.000 0.500
3 Ga 0.500 0.000 0.000
4 Ga 0.000 0.500 0.000
5 Rb 0.500 0.500 0.500

## Properties
Total moment (μB/cell): 0.000
Crystal system: cubic
DOS(E_F) (states/eV/atom): 0.64

***

Most stable: b)

***

a) Below is a relaxed structure of RbGaPS2, with properties calculated at the PBE level.

Unit cell a=5.024 b=5.024 c=4.805 alpha=90.00 beta=90.00 gamma=90.00
Site moments in Bohr magnetons follow the coordinates.
Fractional coordinates of all 5 atoms:
1 S 0.000 0.500 0.000  0.05
2 S 0.500 0.000 0.000  0.05
3 Ga 0.000 0.000 0.000  -0.01
4 P 0.000 0.000 0.500  0.37
5 Rb 0.500 0.500 0.500  0.01

## Properties
Total moment (μB/cell): 0.956
Crystal system: tetragonal
DOS(E_F) (states/eV/atom): 0.91

***

b) Below is a relaxed structure of RbGaPS2, with properties calculated at the PBE level.

Unit cell a=5.993 b=5.993 c=6.251 alpha=90.00 beta=90.00 gamma=90.00
Site moments in Bohr magnetons follow the coordinates.
Fractional coordinates of all 5 atoms:
1 Ga 0.500 0.500 0.500  -0.01
2 Rb 0.000 0.000 0.000  0.08
3 P 0.000 0.000 0.500  1.09
4 S 0.000 0.500 0.000  0.70
5 S 0.500 0.000 0.000  0.70

## Properties
Total moment (μB/cell): 5.010
Crystal system: tetragonal
DOS(E_F) (states/eV/atom): 0.92

***

Most stable: a)

***

a) Below is a relaxed structure of GaRe2P, with properties calculated at the PBE level.

Unit cell a=3.921 b=3.921 c=9.031 alpha=77.46 beta=77.46 gamma=90.00
Fractional coordinates of all 8 atoms:
1 Re 0.567 0.125 0.250
2 Re 0.375 0.433 0.750
3 Re 0.875 0.817 0.750
4 Re 0.183 0.625 0.250
5 P 0.500 0.500 0.000
6 P 0.250 0.750 0.500
7 Ga 0.000 0.000 0.000
8 Ga 0.750 0.250 0.500

## Properties
Total moment (μB/cell): 0.001
Crystal system: tetragonal
DOS(E_F) (states/eV/atom): 0.74

***

b) Below is a relaxed structure of GaRe2P, with properties calculated at the PBE level.

Unit cell a=4.268 b=4.268 c=4.268 alpha=60.00 beta=60.00 gamma=60.00
Fractional coordinates of all 4 atoms:
1 Re 0.250 0.250 0.250
2 Re 0.750 0.750 0.750
3 Ga 0.500 0.500 0.500
4 P 0.000 0.000 0.000

## Properties
Total moment (μB/cell): 0.000
Crystal system: cubic
DOS(E_F) (states/eV/atom): 0.75

***

Most stable: b)